# PBE LaSiHg, optimized geometry
# Crystal system: tetragonal
data_LaSiHg
_chemical_formula_sum 'La2 Si2 Hg2'
_cell_length_a 3.617
_cell_length_b 3.617
_cell_length_c 11.296
_cell_angle_alpha 90.00
_cell_angle_beta 90.00
_cell_angle_gamma 90.00
_space_group_name_H-M_alt 'I 4 m m'
_space_group_IT_number 107
_space_group_name_Hall 'I 4 -2'
loop_
_atom_site_label
_atom_site_fract_x
_atom_site_fract_y
_atom_site_fract_z
_atom_site_occupancy
La1 0.000 0.000 0.000 1
Si1 0.000 0.000 0.323 1
Hg1 0.000 0.000 0.692 1


# PBE LaSiHg3, optimized geometry
# Crystal system: cubic
data_LaSiHg3
_chemical_formula_sum 'La1 Si1 Hg3'
_cell_length_a 6.020
_cell_length_b 6.020
_cell_length_c 6.020
_cell_angle_alpha 90.00
_cell_angle_beta 90.00
_cell_angle_gamma 90.00
_space_group_name_H-M_alt 'P m -3 m'
_space_group_IT_number 221
_space_group_name_Hall '-P 4 2 3'
loop_
_atom_site_label
_atom_site_fract_x
_atom_site_fract_y
_atom_site_fract_z
_atom_site_occupancy
La1 0.000 0.000 0.000 1
Si1 0.500 0.500 0.500 1
Hg1 0.000 0.000 0.500 1


# PBE La2SiHg2, optimized geometry
# Crystal system: tetragonal
data_La2SiHg2
_chemical_formula_sum 'La4 Si2 Hg4'
_cell_length_a 8.415
_cell_length_b 8.415
_cell_length_c 4.279
_cell_angle_alpha 90.00
_cell_angle_beta 90.00
_cell_angle_gamma 90.00
_space_group_name_H-M_alt 'P 4/m b m'
_space_group_IT_number 127
_space_group_name_Hall '-P 4 2ab'
loop_
_atom_site_label
_atom_site_fract_x
_atom_site_fract_y
_atom_site_fract_z
_atom_site_occupancy
La1 0.171 0.329 0.000 1
Si1 0.000 0.000 0.000 1
Hg1 0.133 0.633 0.500 1


# PBE La4SiHg, optimized geometry
# Crystal system: cubic
data_La4SiHg
_chemical_formula_sum 'La16 Si4 Hg4'
_cell_length_a 9.020
_cell_length_b 9.020
_cell_length_c 9.020
_cell_angle_alpha 90.00
_cell_angle_beta 90.00
_cell_angle_gamma 90.00
_space_group_name_H-M_alt 'F -4 3 m'
_space_group_IT_number 216
_space_group_name_Hall 'F -4 2 3'
loop_
_atom_site_label
_atom_site_fract_x
_atom_site_fract_y
_atom_site_fract_z
_atom_site_occupancy
La1 0.123 0.123 0.123 1
Si1 0.250 0.250 0.750 1
Hg1 0.000 0.000 0.500 1


# PBE La2Si2Hg, optimized geometry
# Crystal system: tetragonal
data_La2Si2Hg
_chemical_formula_sum 'La4 Si4 Hg2'
_cell_length_a 3.671
_cell_length_b 3.671
_cell_length_c 18.964
_cell_angle_alpha 90.00
_cell_angle_beta 90.00
_cell_angle_gamma 90.00
_space_group_name_H-M_alt 'I 4/m m m'
_space_group_IT_number 139
_space_group_name_Hall '-I 4 2'
loop_
_atom_site_label
_atom_site_fract_x
_atom_site_fract_y
_atom_site_fract_z
_atom_site_occupancy
La1 0.000 0.000 0.117 1
Si1 0.000 0.500 0.250 1
Hg1 0.000 0.000 0.500 1


# PBE La5Si2Hg, optimized geometry
# Crystal system: tetragonal
data_La5Si2Hg
_chemical_formula_sum 'La20 Si8 Hg4'
_cell_length_a 7.948
_cell_length_b 7.948
_cell_length_c 15.101
_cell_angle_alpha 90.00
_cell_angle_beta 90.00
_cell_angle_gamma 90.00
_space_group_name_H-M_alt 'I 4/m c m'
_space_group_IT_number 140
_space_group_name_Hall '-I 4 2c'
loop_
_atom_site_label
_atom_site_fract_x
_atom_site_fract_y
_atom_site_fract_z
_atom_site_occupancy
La1 0.000 0.000 0.000 1
La2 0.177 0.323 0.139 1
Si1 0.113 0.387 0.500 1
Hg1 0.000 0.000 0.250 1


# PBE LaSi2Hg, optimized geometry
# Crystal system: tetragonal
data_LaSi2Hg
_chemical_formula_sum 'La1 Si2 Hg1'
_cell_length_a 3.708
_cell_length_b 3.708
_cell_length_c 6.547
_cell_angle_alpha 90.00
_cell_angle_beta 90.00
_cell_angle_gamma 90.00
_space_group_name_H-M_alt 'P 4/m m m'
_space_group_IT_number 123
_space_group_name_Hall '-P 4 2'
loop_
_atom_site_label
_atom_site_fract_x
_atom_site_fract_y
_atom_site_fract_z
_atom_site_occupancy
La1 0.000 0.000 0.000 1
Si1 0.500 0.500 0.314 1
Hg1 0.000 0.000 0.500 1


# PBE LaSi2Hg, optimized geometry
# Crystal system: monoclinic
data_LaSi2Hg
_chemical_formula_sum 'La2 Si4 Hg2'
_cell_length_a 6.483
_cell_length_b 6.458
_cell_length_c 4.236
_cell_angle_alpha 90.00
_cell_angle_beta 90.23
_cell_angle_gamma 90.00
_space_group_name_H-M_alt 'C 1 2/m 1'
_space_group_IT_number 12
_space_group_name_Hall '-C 2y'
loop_
_atom_site_label
_atom_site_fract_x
_atom_site_fract_y
_atom_site_fract_z
_atom_site_occupancy
La1 0.000 0.000 0.000 1
Si1 0.250 0.250 0.500 1
Hg1 0.000 0.500 0.000 1


no.,raw total energy (eV/cell)
1,-22.40
2,-6.60
3,-33.58
4,-95.03
5,-45.77
6,-160.38
7,-16.18
8,-33.59